Material: ThSI
Method: DFT, PBE
State: optimized geometry

Cell and atoms, written as CIF:
```
data_ThSI
_cell_length_a 5.336
_cell_length_b 5.336
_cell_length_c 12.320
_cell_angle_alpha 108.58
_cell_angle_beta 108.58
_cell_angle_gamma 41.92
_symmetry_space_group_name_H-M 'P 1'
_symmetry_Int_Tables_number 1
_symmetry_space_group_name_Hall 'P 1'
loop_
_atom_site_label
_atom_site_type_symbol
_atom_site_fract_x
_atom_site_fract_y
_atom_site_fract_z
Th1 Th 0.156 0.156 0.122
Th2 Th 0.844 0.844 0.878
S1 S 0.414 0.414 0.078
S2 S 0.586 0.586 0.922
I1 I 0.211 0.211 0.664
I2 I 0.789 0.789 0.336
```

Properties
The value obtained for the density of states at the Fermi level is 0.62 states/eV/atom. The calculation puts the formation energy from raw total energies at -1.48 eV/atom. Its magnetic moment is 0.3 μB per formula unit. Its calculated density is 5.9 g/cm³.